## LiTiH6O2F6 (PBE-GGA)

Data for crystalline LiTiH6O2F6 at its relaxed geometry.

Calculated values
calculated total energy: -5.21 eV/atom
theoretical density: 1.777 g/cm3

Lattice parameters (Å, degrees): 5.8573 5.8573 6.0500 96.47 96.47 70.05
Each line ends with the local moment (μB).
Element x y z (fractional)
Li: 0.9821 0.0179 0.5000  0.00
Ti: 0.9822 0.0178 0.0000  0.91
H: 0.6938 0.7295 0.1523  0.00
H: 0.7006 0.4824 0.2761  0.00
H: 0.2633 0.5535 0.7239  0.00
H: 0.4465 0.7367 0.2761  0.00
H: 0.2705 0.3062 0.8477  0.00
H: 0.5176 0.2994 0.7239  0.00
O: 0.6352 0.6711 0.2832  0.00
O: 0.3289 0.3648 0.7168  0.00
F: 0.1860 0.8351 0.2620  0.01
F: 0.7815 0.8165 0.9757  -0.01
F: 0.7784 0.2009 0.7382  0.01
F: 0.7991 0.2216 0.2618  0.01
F: 0.1649 0.8140 0.7380  0.01
F: 0.1835 0.2185 0.0243  -0.01

***

## Li6Tl3Pd (PBE-GGA)

Data for crystalline Li6Tl3Pd at its relaxed geometry.

Calculated values
calculated total energy: -2.64 eV/atom
calculated formation energy: -261.5 meV/atom
theoretical density: 6.936 g/cm3

Lattice parameters (Å, degrees): 4.7659 7.9908 10.1821 109.96 90.00 90.00
Element x y z (fractional)
Li: 0.2500 0.4601 0.0969
Li: 0.7500 0.5399 0.9031
Li: 0.2500 0.1588 0.1978
Li: 0.7500 0.8412 0.8022
Li: 0.2500 0.6533 0.6976
Li: 0.7500 0.3467 0.3024
Li: 0.2500 0.2171 0.4928
Li: 0.7500 0.7829 0.5072
Li: 0.2500 0.8769 0.3198
Li: 0.7500 0.1231 0.6802
Li: 0.2500 0.0409 0.8818
Li: 0.7500 0.9591 0.1182
Tl: 0.2500 0.5662 0.4076
Tl: 0.7500 0.4338 0.5924
Tl: 0.2500 0.3277 0.7900
Tl: 0.7500 0.6723 0.2100
Tl: 0.2500 0.7680 0.9970
Tl: 0.7500 0.2320 0.0030
Pd: 0.2500 0.9426 0.6012
Pd: 0.7500 0.0574 0.3988

***

## KSb4Pb4 (PBE-GGA)

Data for crystalline KSb4Pb4 at its relaxed geometry.

Calculated values
calculated total energy: -3.61 eV/atom
formation energy without anion corrections: -0.009 eV/atom
theoretical density: 6.394 g/cm3

Lattice parameters (Å, degrees): 6.2029 10.6519 10.6519 90.00 90.00 90.00
Element x y z (fractional)
K: 0.0000 0.0000 0.0000
K: 0.5000 0.5000 0.5000
Sb: 0.5369 0.8162 0.3433
Sb: 0.5369 0.1838 0.6567
Sb: 0.0369 0.8433 0.6838
Sb: 0.9631 0.3162 0.8433
Sb: 0.9631 0.6838 0.1567
Sb: 0.4631 0.3433 0.1838
Sb: 0.4631 0.6567 0.8162
Sb: 0.0369 0.1567 0.3162
Pb: 0.4621 0.3651 0.8890
Pb: 0.9621 0.6110 0.8651
Pb: 0.4621 0.6349 0.1110
Pb: 0.0379 0.1349 0.6110
Pb: 0.5379 0.8890 0.6349
Pb: 0.0379 0.8651 0.3890
Pb: 0.9621 0.3890 0.1349
Pb: 0.5379 0.1110 0.3651

***

## Na2BeCo (PBE-GGA)

Data for crystalline Na2BeCo at its relaxed geometry.

Calculated values
calculated total energy: -2.52 eV/atom
calculated formation energy: 849.7 meV/atom
theoretical density: 1.818 g/cm3

Lattice parameters (Å, degrees): 10.0979 10.0979 7.4262 47.17 47.17 90.00
Each line ends with the local moment (μB).
Element x y z (fractional)
Na: 0.4692 0.1250 0.2500  0.01
Na: 0.2808 0.6250 0.2500  0.01
Na: 0.3750 0.5308 0.7500  0.01
Na: 0.8750 0.7192 0.7500  0.01
Co: 0.0000 0.0000 0.0000  -1.26
Co: 0.7500 0.2500 0.5000  -1.26
Be: 0.5000 0.5000 0.0000  0.07
Be: 0.2500 0.7500 0.5000  0.07

***

Question: Number 2 is which compound?
Answer: Li6Tl3Pd